# 1
Here is ScC3Se after structural relaxation from Alexandria via LeMat-Bulk. Energies are from PBEsol.

abc: 4.225 4.225 4.225
angles: 90.00 90.00 90.00
Element x y z (fractional)
C: 0.000 0.000 0.500
Sc: 0.000 0.000 0.000
C: 0.000 0.500 0.000
Se: 0.500 0.500 0.500
C: 0.500 0.000 0.000

## Properties
calculated total energy: -5.2292 eV/atom
total magnetic moment: 0.00 μB/f.u.
formation energy from raw total energies: 61.068 kcal/mol of atoms

***

# 2
Here is ScSi3C after structural relaxation from Alexandria via LeMat-Bulk. Energies are from PBEsol.

abc: 4.114 4.114 4.114
angles: 90.00 90.00 90.00
Element x y z (fractional)
Si: 0.500 0.000 0.000
Si: 0.000 0.000 0.500
Si: 0.000 0.500 0.000
C: 0.000 0.000 0.000
Sc: 0.500 0.500 0.500

## Properties
calculated total energy: -6.2433 eV/atom
total magnetic moment: 0.00 μB/f.u.
formation energy from raw total energies: 10.480 kcal/mol of atoms

***

# 3
Here is Sc3SnC after structural relaxation from Alexandria via LeMat-Bulk. Energies are from PBEsol.

abc: 4.484 4.484 4.484
angles: 90.00 90.00 90.00
Element x y z (fractional)
Sc: 0.500 0.500 0.000
Sc: 0.500 0.000 0.500
Sn: 0.000 0.000 0.000
Sc: 0.000 0.500 0.500
C: 0.500 0.500 0.500

## Properties
calculated total energy: -7.5951 eV/atom
E_form: -851 meV per atom
total magnetic moment: 0.00 μB/f.u.

***

# 4
Here is SrSc3C after structural relaxation from Alexandria via LeMat-Bulk. Energies are from PBEsol.

abc: 4.916 4.916 4.916
angles: 90.00 90.00 90.00
Element x y z (fractional)
C: 0.500 0.500 0.500
Sr: 0.000 0.000 0.000
Sc: 0.000 0.000 0.500
Sc: 0.500 0.000 0.000
Sc: 0.000 0.500 0.000

## Properties
calculated total energy: -3.6878 eV/atom
E_form: 2572 meV per atom
total magnetic moment: 0.00 μB/f.u.

***

Looking at calculated volume for the records above, in order, we have 15.1 13.9 18.0 23.8 Å³/atom.